! PBE-GGA Ho2Tl3SnSe6, optimized geometry; values from VASP
&SYSTEM
  ibrav = 0, nat = 12, ntyp = 4
/
ATOMIC_SPECIES
Ho 164.93 Ho.upf
Tl 204.38 Tl.upf
Sn 118.71 Sn.upf
Se 78.96 Se.upf
CELL_PARAMETERS angstrom
9.798 -2.068 0.000
9.798 2.068 0.000
-3.021 0.000 8.611
ATOMIC_POSITIONS angstrom
Ho 2.275 0.000 2.894
Ho 14.299 0.000 5.717
Tl 0.764 0.000 7.203
Tl 8.287 0.000 4.306
Tl 15.810 0.000 1.409
Sn 9.798 0.000 0.000
Se -0.488 0.000 1.982
Se 5.003 0.000 3.792
Se 4.029 0.000 7.650
Se 12.545 0.000 0.962
Se 11.571 0.000 4.819
Se 17.063 0.000 6.630
! formation energy (no corrections)	-1.05	eV/atom
! DOS(E_F)	3.56	states/eV/f.u.
! energy	-4.4761	eV per atom
! calculated volume	29.09	Å³ per atom